A relaxed structure of AcPtO3, computed with GGA-PBE.

The uncorrected energy comes out at -6.8317 eV/atom.

The space group is C2/m (No. 12) and the conventional cell measures 9.510, 5.233 and 6.274 Å, with angles of 90.00, 93.40 and 90.00 degrees. Symmetry generates all atoms from Ac at (0.185, 0.000, 0.265), Pt at (0.000, 0.500, 0.000), Pt at (0.000, 0.500, 0.500), O at (0.051, 0.261, 0.757) and O at (0.200, 0.500, 0.392).

A relaxed structure of Ac4Pt6O19, computed with GGA-PBE.

The uncorrected energy comes out at -6.6697 eV/atom.

The space group is I23 (No. 197) and the conventional cell measures 9.287, 9.287 and 9.287 Å, with angles of 90.00, 90.00 and 90.00 degrees. Symmetry generates all atoms from Ac at (0.162, 0.162, 0.162), Pt at (0.000, 0.159, 0.500), O at (0.000, 0.000, 0.000), O at (0.000, 0.000, 0.346) and O at (0.033, 0.287, 0.672).

A relaxed structure of AcPt4O12, computed with GGA-PBE.

The uncorrected energy comes out at -5.7460 eV/atom.

The space group is Im-3 (No. 204) and the conventional cell measures 7.605, 7.605 and 7.605 Å, with angles of 90.00, 90.00 and 90.00 degrees. Symmetry generates all atoms from Ac at (0.000, 0.000, 0.000), Pt at (0.250, 0.250, 0.250) and O at (0.000, 0.176, 0.294).

A relaxed structure of AcPt2O4, computed with GGA-PBE.

The uncorrected energy comes out at -6.5560 eV/atom.

The space group is Fddd (No. 70, origin choice 2) and the conventional cell measures 6.538, 10.424 and 13.450 Å, with angles of 90.00, 90.00 and 90.00 degrees. Symmetry generates all atoms from Ac at (0.125, 0.125, 0.125), Pt at (0.000, 0.000, 0.500) and O at (0.046, 0.309, 0.002).

> Which value of uncorrected energy does entry 4 give?

-6.5560 eV/atom

> Number 2 is which compound?

Ac4Pt6O19

> What is the formula in the first record?

AcPtO3

> What is the formula in the fourth record?

AcPt2O4